Entry from the Alexandria database: BeCr2AgO after structural relaxation (PBE with a Hubbard U).

Final energy, eV/atom: -5.446
ρ, Mg/m³: 4.7
M_tot, μB/f.u.: 10.029

abc: 5.3725 5.3725 2.9147
angles: 90.00 90.00 90.00
Last column: nearest neighbours and their distance in Å.
Space group P4/mmm (No. 123)
Asymmetric unit:
Be1 0.0000 0.0000 0.0000 (multiplicity 1)  2 O 1.46
Cr1 0.0000 0.5000 0.0000 (multiplicity 2)  2 Be 2.69, 2 Cr 2.91
Ag1 0.5000 0.5000 0.5000 (multiplicity 1)  2 Ag 2.91, 8 Cr 3.06
O1 0.0000 0.0000 0.5000 (multiplicity 1)  2 Be 1.46